No. 1
A geometry-optimized In2FeAs2 structure. Source: Alexandria via LeMat-Bulk, functional PBE.

The space group is P4/mbm (No. 127) and the conventional cell measures 6.127, 6.127 and 5.645 Å, with angles of 90.00, 90.00 and 90.00 degrees. The distinct sites, in fractional coordinates, are In at (0.196, 0.304, 0.000), Fe at (0.000, 0.000, 0.500) and As at (0.146, 0.646, 0.500).

The density of states at the Fermi level comes out at 5.58 states/eV/cell. For the formation energy, the calculation gives 89 meV/atom.

=====

No. 2
A geometry-optimized AcPmZnBi structure. Source: Alexandria via LeMat-Bulk, functional PBE.

The space group is F-43m (No. 216) and the conventional cell measures 7.901, 7.901 and 7.901 Å, with angles of 90.00, 90.00 and 90.00 degrees. The distinct sites, in fractional coordinates, are Ac at (0.000, 0.000, 0.000), Pm at (0.000, 0.000, 0.500), Zn at (0.250, 0.250, 0.250) and Bi at (0.250, 0.250, 0.750).

The density of states at the Fermi level comes out at 15.85 states/eV/cell. For the formation energy, the calculation gives -423 meV/atom.

=====

No. 3
A geometry-optimized LiErSiPd structure. Source: Alexandria via LeMat-Bulk, functional PBE.

The space group is F-43m (No. 216) and the conventional cell measures 6.413, 6.413 and 6.413 Å, with angles of 90.00, 90.00 and 90.00 degrees. The distinct sites, in fractional coordinates, are Li at (0.000, 0.000, 0.000), Er at (0.250, 0.250, 0.750), Si at (0.250, 0.250, 0.250) and Pd at (0.000, 0.000, 0.500).

The formation energy without anion corrections is -0.70 eV per atom.

=====

Respective total magnetization values: 1.32; 0.00; 0.00 μB/f.u..